(1)
{"formula": "HgOsCl2", "functional": "PBE-GGA", "state": "optimized geometry", "e_above_lowest_polymorph_ev_per_atom": 0.1475, "formation_energy_uncorrected_ev_per_atom": 0.230, "mass_density_g_cm3": 9.014, "lattice_angstrom": [[1.751, 1.011, 8.006], [-1.751, 1.011, 8.006], [0.000, -2.022, 8.006]], "species": ["Hg", "Os", "Cl", "Cl"], "fractional_positions": [[0.000, 0.000, 0.000], [0.251, 0.251, 0.251], [0.537, 0.537, 0.537], [0.743, 0.743, 0.743]]}

(2)
{"formula": "HgOsCl2", "functional": "PBE-GGA", "state": "optimized geometry", "e_above_lowest_polymorph_ev_per_atom": 1.0443, "dos_at_fermi_per_ev_fu": 2.27, "formation_energy_uncorrected_ev_per_atom": 1.127, "mass_density_g_cm3": 9.607, "lattice_angstrom": [[-2.240, 2.240, 3.975], [2.240, -2.240, 3.975], [2.240, 2.240, -3.975]], "species": ["Hg", "Os", "Cl", "Cl"], "fractional_positions": [[0.000, 0.000, 0.000], [0.500, 0.500, 0.000], [0.250, 0.750, 0.500], [0.750, 0.250, 0.500]]}

(3)
{"formula": "HgOsCl", "functional": "PBE-GGA", "state": "optimized geometry", "e_above_lowest_polymorph_ev_per_atom": 0.0000, "dos_at_fermi_per_ev_fu": 1.82, "formation_energy_uncorrected_ev_per_atom": 0.704, "mass_density_g_cm3": 11.631, "lattice_angstrom": [[0.000, 2.680, 7.901], [1.437, 0.000, 7.901], [1.437, 2.680, 0.000]], "species": ["Hg", "Os", "Cl"], "fractional_positions": [[0.000, 0.000, 0.000], [0.342, 0.342, 0.658], [0.725, 0.725, 0.275]]}

(4)
{"formula": "HgOsCl2", "functional": "PBE-GGA", "state": "optimized geometry", "e_above_lowest_polymorph_ev_per_atom": 1.0494, "dos_at_fermi_per_ev_fu": 4.73, "formation_energy_uncorrected_ev_per_atom": 1.132, "mass_density_g_cm3": 8.980, "lattice_angstrom": [[-1.895, 1.895, 5.943], [1.895, -1.895, 5.943], [1.895, 1.895, -5.943]], "species": ["Hg", "Os", "Cl", "Cl"], "fractional_positions": [[0.000, 0.000, 0.000], [0.250, 0.750, 0.500], [0.500, 0.500, 0.000], [0.750, 0.250, 0.500]]}

(5)
{"formula": "HgOsCl2", "functional": "PBE-GGA", "state": "optimized geometry", "e_above_lowest_polymorph_ev_per_atom": 0.8555, "dos_at_fermi_per_ev_fu": 3.74, "formation_energy_uncorrected_ev_per_atom": 0.938, "mass_density_g_cm3": 9.878, "lattice_angstrom": [[3.040, 0.000, 0.000], [0.000, 4.481, 0.000], [0.000, 0.000, 5.697]], "species": ["Hg", "Os", "Cl", "Cl"], "fractional_positions": [[0.000, 0.000, 0.000], [0.500, 0.000, 0.500], [0.000, 0.500, 0.500], [0.500, 0.500, 0.000]]}

(6)
{"formula": "HgOsCl", "functional": "PBE-GGA", "state": "optimized geometry", "e_above_lowest_polymorph_ev_per_atom": 0.0761, "dos_at_fermi_per_ev_fu": 2.57, "formation_energy_uncorrected_ev_per_atom": 0.780, "mass_density_g_cm3": 11.846, "lattice_angstrom": [[2.956, 0.000, 0.000], [-1.478, 2.560, 0.000], [0.000, 0.000, 7.897]], "species": ["Hg", "Os", "Cl"], "fractional_positions": [[0.000, 0.000, 0.000], [0.667, 0.333, 0.309], [0.333, 0.667, 0.540]]}

(7)
{"formula": "HgOsCl2", "functional": "PBE-GGA", "state": "optimized geometry", "e_above_lowest_polymorph_ev_per_atom": 0.0875, "dos_at_fermi_per_ev_fu": 3.78, "formation_energy_uncorrected_ev_per_atom": 0.170, "mass_density_g_cm3": 7.422, "lattice_angstrom": [[5.351, -1.530, 0.000], [5.351, 1.530, 0.000], [-2.846, 0.000, 6.311]], "species": ["Hg", "Os", "Cl", "Cl"], "fractional_positions": [[0.000, 0.000, 0.000], [0.740, 0.740, 0.000], [0.172, 0.172, 0.710], [0.327, 0.327, 0.290]]}

(8)
{"formula": "HgOsCl2", "functional": "PBE-GGA", "state": "optimized geometry", "e_above_lowest_polymorph_ev_per_atom": 1.0871, "dos_at_fermi_per_ev_fu": 3.96, "formation_energy_uncorrected_ev_per_atom": 1.169, "mass_density_g_cm3": 9.124, "lattice_angstrom": [[5.240, 0.000, 0.000], [0.000, 5.240, 0.000], [0.000, 0.000, 3.060]], "species": ["Hg", "Os", "Cl", "Cl"], "fractional_positions": [[0.000, 0.000, 0.000], [0.500, 0.500, 0.000], [0.000, 0.500, 0.500], [0.500, 0.000, 0.500]]}

(9)
{"formula": "HgP2OsCl", "functional": "PBE-GGA", "state": "optimized geometry", "e_above_lowest_polymorph_ev_per_atom": 0.0000, "dos_at_fermi_per_ev_fu": 4.29, "formation_energy_uncorrected_ev_per_atom": 0.411, "mass_density_g_cm3": 7.460, "lattice_angstrom": [[4.562, 0.000, 0.000], [0.000, 4.562, 0.000], [0.000, 0.000, 5.221]], "species": ["Hg", "P", "P", "Os", "Cl"], "fractional_positions": [[0.000, 0.000, 0.000], [0.000, 0.500, 0.500], [0.500, 0.000, 0.500], [0.500, 0.500, 0.500], [0.500, 0.500, 0.000]]}

(10)
{"formula": "HgPOsCl2", "functional": "PBE-GGA", "state": "optimized geometry", "e_above_lowest_polymorph_ev_per_atom": 0.0000, "dos_at_fermi_per_ev_fu": 4.30, "formation_energy_uncorrected_ev_per_atom": 0.288, "mass_density_g_cm3": 7.287, "lattice_angstrom": [[4.972, 0.000, 0.000], [0.000, 4.972, 0.000], [0.000, 0.000, 4.543]], "species": ["Hg", "P", "Os", "Cl", "Cl"], "fractional_positions": [[0.000, 0.000, 0.000], [0.500, 0.500, 0.000], [0.500, 0.500, 0.500], [0.000, 0.500, 0.500], [0.500, 0.000, 0.500]]}

(11)
{"formula": "HgPOsCl2", "functional": "PBE-GGA", "state": "optimized geometry", "e_above_lowest_polymorph_ev_per_atom": 1.3130, "dos_at_fermi_per_ev_fu": 5.99, "formation_energy_uncorrected_ev_per_atom": 1.601, "mass_density_g_cm3": 6.069, "lattice_angstrom": [[5.081, 0.000, 0.000], [0.000, 5.081, 0.000], [0.000, 0.000, 5.221]], "species": ["Hg", "P", "Os", "Cl", "Cl"], "fractional_positions": [[0.000, 0.000, 0.000], [0.000, 0.000, 0.500], [0.500, 0.500, 0.500], [0.000, 0.500, 0.000], [0.500, 0.000, 0.000]]}

(12)
{"formula": "HgOsS2Cl", "functional": "PBE-GGA", "state": "optimized geometry", "e_above_lowest_polymorph_ev_per_atom": 0.0000, "dos_at_fermi_per_ev_fu": 3.20, "formation_energy_uncorrected_ev_per_atom": 0.276, "mass_density_g_cm3": 7.590, "lattice_angstrom": [[4.583, 0.000, 0.000], [0.000, 4.583, 0.000], [0.000, 0.000, 5.107]], "species": ["Hg", "Os", "S", "S", "Cl"], "fractional_positions": [[0.000, 0.000, 0.000], [0.500, 0.500, 0.500], [0.000, 0.500, 0.500], [0.500, 0.000, 0.500], [0.500, 0.500, 0.000]]}

(13)
{"formula": "HgOsS2Cl", "functional": "PBE-GGA", "state": "optimized geometry", "e_above_lowest_polymorph_ev_per_atom": 1.3925, "dos_at_fermi_per_ev_fu": 5.06, "formation_energy_uncorrected_ev_per_atom": 1.669, "mass_density_g_cm3": 6.462, "lattice_angstrom": [[5.002, 0.000, 0.000], [0.000, 5.002, 0.000], [0.000, 0.000, 5.037]], "species": ["Hg", "Os", "S", "S", "Cl"], "fractional_positions": [[0.000, 0.000, 0.000], [0.500, 0.500, 0.500], [0.000, 0.500, 0.000], [0.500, 0.000, 0.000], [0.000, 0.000, 0.500]]}

(14)
{"formula": "TiHgOs2Cl", "functional": "PBE-GGA", "state": "optimized geometry", "dos_at_fermi_per_ev_fu": 4.98, "formation_energy_uncorrected_ev_per_atom": 1.094, "mass_density_g_cm3": 12.860, "lattice_angstrom": [[4.441, 0.000, 0.000], [0.000, 4.441, 0.000], [0.000, 0.000, 4.350]], "species": ["Ti", "Hg", "Os", "Os", "Cl"], "fractional_positions": [[0.000, 0.000, 0.000], [0.500, 0.500, 0.000], [0.000, 0.500, 0.500], [0.500, 0.000, 0.500], [0.000, 0.000, 0.500]]}

(15)
{"formula": "ZrHg2OsCl", "functional": "PBE-GGA", "state": "optimized geometry", "dos_at_fermi_per_ev_fu": 4.13, "formation_energy_uncorrected_ev_per_atom": 1.239, "mass_density_g_cm3": 9.911, "lattice_angstrom": [[5.327, 0.000, 0.000], [0.000, 5.327, 0.000], [0.000, 0.000, 4.240]], "species": ["Zr", "Hg", "Hg", "Os", "Cl"], "fractional_positions": [[0.000, 0.000, 0.000], [0.000, 0.500, 0.500], [0.500, 0.000, 0.500], [0.500, 0.500, 0.000], [0.500, 0.500, 0.500]]}

(16)
{"formula": "HgPCl2", "functional": "PBE-GGA", "state": "optimized geometry", "e_above_lowest_polymorph_ev_per_atom": 0.2551, "formation_energy_uncorrected_ev_per_atom": 0.053, "mass_density_g_cm3": 4.088, "lattice_angstrom": [[-1.820, 3.817, 4.422], [1.820, -3.817, 4.422], [1.820, 3.817, -4.422]], "species": ["Hg", "P", "Cl", "Cl"], "fractional_positions": [[0.000, 0.000, 0.000], [0.218, 0.718, 0.500], [0.403, 0.403, 0.000], [0.786, 0.286, 0.500]]}

(17)
{"formula": "Hg3P2Cl2", "functional": "PBE-GGA", "state": "optimized geometry", "e_above_lowest_polymorph_ev_per_atom": 0.2531, "dos_at_fermi_per_ev_fu": 2.21, "formation_energy_uncorrected_ev_per_atom": -0.037, "mass_density_g_cm3": 6.509, "lattice_angstrom": [[6.772, 0.000, 0.000], [0.000, 8.037, 0.000], [-2.072, 0.000, 6.887]], "species": ["Hg", "Hg", "Hg", "Hg", "Hg", "Hg", "P", "P", "P", "P", "Cl", "Cl", "Cl", "Cl"], "fractional_positions": [[0.000, 0.000, 0.000], [0.000, 0.500, 0.500], [0.442, 0.100, 0.735], [0.442, 0.400, 0.235], [0.558, 0.600, 0.765], [0.558, 0.900, 0.265], [0.340, 0.130, 0.054], [0.340, 0.370, 0.554], [0.660, 0.630, 0.446], [0.660, 0.870, 0.946], [0.227, 0.608, 0.940], [0.227, 0.892, 0.440], [0.773, 0.108, 0.560], [0.773, 0.392, 0.060]]}

(18)
{"formula": "HgP2Cl", "functional": "PBE-GGA", "state": "optimized geometry", "e_above_lowest_polymorph_ev_per_atom": 0.1455, "dos_at_fermi_per_ev_fu": 2.00, "formation_energy_uncorrected_ev_per_atom": 0.058, "mass_density_g_cm3": 5.142, "lattice_angstrom": [[3.293, 0.000, 0.000], [0.000, 3.293, 0.000], [0.000, 0.000, 8.874]], "species": ["Hg", "P", "P", "Cl"], "fractional_positions": [[0.000, 0.000, 0.000], [0.000, 0.000, 0.281], [0.500, 0.500, 0.355], [0.500, 0.500, 0.818]]}

(19)
{"formula": "HgP2Cl", "functional": "PBE-GGA", "state": "optimized geometry", "e_above_lowest_polymorph_ev_per_atom": 0.4059, "dos_at_fermi_per_ev_fu": 1.79, "formation_energy_uncorrected_ev_per_atom": 0.318, "mass_density_g_cm3": 4.465, "lattice_angstrom": [[-1.890, 1.890, 15.513], [1.890, -1.890, 15.513], [1.890, 1.890, -15.513]], "species": ["Hg", "Hg", "P", "P", "P", "P", "Cl", "Cl"], "fractional_positions": [[0.000, 0.000, 0.000], [0.750, 0.250, 0.500], [0.214, 0.625, 0.089], [0.375, 0.464, 0.589], [0.536, 0.125, 0.911], [0.875, 0.786, 0.411], [0.250, 0.750, 0.500], [0.500, 0.500, 0.000]]}

(20)
{"formula": "Hg2P3Cl", "functional": "PBE-GGA", "state": "optimized geometry", "dos_at_fermi_per_ev_fu": 0.00, "formation_energy_uncorrected_ev_per_atom": -0.176, "mass_density_g_cm3": 6.379, "lattice_angstrom": [[4.005, -4.477, 0.000], [4.005, 4.477, 0.000], [-1.059, 0.000, 7.689]], "species": ["Hg", "Hg", "Hg", "Hg", "P", "P", "P", "P", "P", "P", "Cl", "Cl"], "fractional_positions": [[0.090, 0.362, 0.169], [0.362, 0.090, 0.669], [0.638, 0.910, 0.331], [0.910, 0.638, 0.831], [0.307, 0.693, 0.750], [0.327, 0.442, 0.526], [0.442, 0.327, 0.026], [0.558, 0.673, 0.974], [0.673, 0.558, 0.474], [0.693, 0.307, 0.250], [0.127, 0.873, 0.250], [0.873, 0.127, 0.750]]}

(21)
{"formula": "HgPCl2", "functional": "PBE-GGA", "state": "optimized geometry", "e_above_lowest_polymorph_ev_per_atom": 0.2457, "dos_at_fermi_per_ev_fu": 1.90, "formation_energy_uncorrected_ev_per_atom": 0.044, "mass_density_g_cm3": 5.188, "lattice_angstrom": [[3.306, 0.000, 0.000], [0.000, 5.546, 0.000], [0.000, 0.000, 5.280]], "species": ["Hg", "P", "Cl", "Cl"], "fractional_positions": [[0.000, 0.000, 0.000], [0.500, 0.500, 0.975], [0.000, 0.000, 0.496], [0.500, 0.500, 0.599]]}

(22)
{"formula": "HgPCl2", "functional": "PBE-GGA", "state": "optimized geometry", "e_above_lowest_polymorph_ev_per_atom": 0.3185, "dos_at_fermi_per_ev_fu": 2.57, "formation_energy_uncorrected_ev_per_atom": 0.116, "mass_density_g_cm3": 4.724, "lattice_angstrom": [[2.007, 1.159, 7.617], [-2.007, 1.159, 7.617], [0.000, -2.318, 7.617]], "species": ["Hg", "P", "Cl", "Cl"], "fractional_positions": [[0.000, 0.000, 0.000], [0.264, 0.264, 0.264], [0.551, 0.551, 0.551], [0.734, 0.734, 0.734]]}

(23)
{"formula": "HgPCl2", "functional": "PBE-GGA", "state": "optimized geometry", "e_above_lowest_polymorph_ev_per_atom": 0.7307, "dos_at_fermi_per_ev_fu": 2.31, "formation_energy_uncorrected_ev_per_atom": 0.529, "mass_density_g_cm3": 5.875, "lattice_angstrom": [[3.114, -4.081, 0.000], [3.114, 4.081, 0.000], [0.000, 0.000, 3.364]], "species": ["Hg", "P", "Cl", "Cl"], "fractional_positions": [[0.000, 0.000, 0.000], [0.500, 0.500, 0.000], [0.000, 0.500, 0.500], [0.500, 0.000, 0.500]]}

(24)
{"formula": "HgP2Cl", "functional": "PBE-GGA", "state": "optimized geometry", "e_above_lowest_polymorph_ev_per_atom": 0.8987, "dos_at_fermi_per_ev_fu": 1.73, "formation_energy_uncorrected_ev_per_atom": 0.811, "mass_density_g_cm3": 6.575, "lattice_angstrom": [[0.000, 3.351, 3.351], [3.351, 0.000, 3.351], [3.351, 3.351, 0.000]], "species": ["Hg", "P", "P", "Cl"], "fractional_positions": [[0.000, 0.000, 0.000], [0.250, 0.250, 0.250], [0.750, 0.750, 0.750], [0.500, 0.500, 0.500]]}

(25)
{"formula": "HgPCl2", "functional": "PBE-GGA", "state": "optimized geometry", "e_above_lowest_polymorph_ev_per_atom": 0.4815, "dos_at_fermi_per_ev_fu": 2.67, "formation_energy_uncorrected_ev_per_atom": 0.279, "mass_density_g_cm3": 5.466, "lattice_angstrom": [[1.640, 0.947, 9.856], [-1.640, 0.947, 9.856], [0.000, -1.894, 9.856]], "species": ["Hg", "P", "Cl", "Cl"], "fractional_positions": [[0.000, 0.000, 0.000], [0.500, 0.500, 0.500], [0.102, 0.102, 0.102], [0.898, 0.898, 0.898]]}

(26)
{"formula": "HgPCl2", "functional": "PBE-GGA", "state": "optimized geometry", "e_above_lowest_polymorph_ev_per_atom": 0.2590, "dos_at_fermi_per_ev_fu": 1.23, "formation_energy_uncorrected_ev_per_atom": 0.057, "mass_density_g_cm3": 5.136, "lattice_angstrom": [[3.687, 0.000, 0.000], [0.000, 3.038, 4.366], [0.000, -3.038, 4.366]], "species": ["Hg", "P", "Cl", "Cl"], "fractional_positions": [[0.000, 0.000, 0.000], [0.500, 0.219, 0.219], [0.000, 0.404, 0.404], [0.500, 0.762, 0.762]]}

(27)
{"formula": "HgP2Cl", "functional": "PBE-GGA", "state": "optimized geometry", "e_above_lowest_polymorph_ev_per_atom": 0.2493, "dos_at_fermi_per_ev_fu": 1.62, "formation_energy_uncorrected_ev_per_atom": 0.161, "mass_density_g_cm3": 4.516, "lattice_angstrom": [[7.416, -1.625, 0.000], [7.416, 1.625, 0.000], [-0.951, 0.000, 4.545]], "species": ["Hg", "P", "P", "Cl"], "fractional_positions": [[0.000, 0.000, 0.000], [0.277, 0.277, 0.891], [0.723, 0.723, 0.109], [0.500, 0.500, 0.500]]}

(28)
{"formula": "HgPCl3", "functional": "PBE-GGA", "state": "optimized geometry", "e_above_lowest_polymorph_ev_per_atom": 0.0000, "dos_at_fermi_per_ev_fu": 3.92, "formation_energy_uncorrected_ev_per_atom": -0.148, "mass_density_g_cm3": 4.758, "lattice_angstrom": [[4.904, 0.000, 0.000], [0.000, 4.904, 0.000], [0.000, 0.000, 4.904]], "species": ["Hg", "P", "Cl", "Cl", "Cl"], "fractional_positions": [[0.000, 0.000, 0.000], [0.500, 0.500, 0.500], [0.000, 0.500, 0.500], [0.500, 0.000, 0.500], [0.500, 0.500, 0.000]]}

(29)
{"formula": "HgP2Cl", "functional": "PBE-GGA", "state": "optimized geometry", "e_above_lowest_polymorph_ev_per_atom": 0.0944, "dos_at_fermi_per_ev_fu": 1.14, "formation_energy_uncorrected_ev_per_atom": 0.007, "mass_density_g_cm3": 5.295, "lattice_angstrom": [[3.829, -1.656, 0.000], [3.829, 1.656, 0.000], [-0.384, 0.000, 7.371]], "species": ["Hg", "P", "P", "Cl"], "fractional_positions": [[0.000, 0.000, 0.000], [0.234, 0.234, 0.276], [0.610, 0.610, 0.426], [0.789, 0.789, 0.702]]}

These records have raw total energy values of -14.3; -10.7; -11.3; -10.7; -11.5; -11.0; -14.5; -10.5; -22.1; -19.2; -12.6; -20.3; -13.3; -27.0; -16.0; -9.2; -31.4; -12.7; -23.4; -39.5; -9.2; -8.9; -7.3; -9.7; -8.3; -9.2; -12.3; -12.0; -12.9 eV for the cell shown, in the order they appear.